# AgAsPt

A crystal of AgAsPt relaxed with PBEsol (SCAN, Alexandria).

The energy of formation from the pure elements is -11.0 kJ/mol of atoms. For the density, the calculation gives 12.370 Mg/m³. Its offset from the most stable computed form is 0.0000 eV/atom. The crystal system is tetragonal. The calculation puts the size of the total moment at 0.0 μB per cell.

It has space group I4mm (No. 107), with a = 3.3491 Å, b = 3.3491 Å, c = 9.0453 Å, α = 90.00°, β = 90.00° and γ = 90.00°. The distinct sites, in fractional coordinates, are Ag at (0.0000, 0.0000, 0.0000), As at (0.0000, 0.0000, 0.7037) and Pt at (0.0000, 0.0000, 0.3109).


# AgAs2Pt2

A crystal of AgAs2Pt2 relaxed with PBEsol (SCAN, Alexandria).

The energy of formation from the pure elements is -10.2 kJ/mol of atoms. For the density, the calculation gives 11.836 Mg/m³. The crystal system is tetragonal. The calculation puts the size of the total moment at 0.0 μB per cell.

It has space group I4/mmm (No. 139), with a = 4.5077 Å, b = 4.5077 Å, c = 8.9463 Å, α = 90.00°, β = 90.00° and γ = 90.00°. The distinct sites, in fractional coordinates, are Ag at (0.0000, 0.0000, 0.0000), As at (0.0000, 0.0000, 0.3639) and Pt at (0.0000, 0.5000, 0.2500).


Copy entry 1 word for word.
# AgAsPt

A crystal of AgAsPt relaxed with PBEsol (SCAN, Alexandria).

The energy of formation from the pure elements is -11.0 kJ/mol of atoms. For the density, the calculation gives 12.370 Mg/m³. Its offset from the most stable computed form is 0.0000 eV/atom. The crystal system is tetragonal. The calculation puts the size of the total moment at 0.0 μB per cell.

It has space group I4mm (No. 107), with a = 3.3491 Å, b = 3.3491 Å, c = 9.0453 Å, α = 90.00°, β = 90.00° and γ = 90.00°. The distinct sites, in fractional coordinates, are Ag at (0.0000, 0.0000, 0.0000), As at (0.0000, 0.0000, 0.7037) and Pt at (0.0000, 0.0000, 0.3109).